Below is a relaxed structure of MgV3O9, with properties calculated at the PBE with a Hubbard U level.

Values from the calculation:
- raw total energy (Ry per atom) = -0.52226
- N(E_F) (states/eV/cell) = 11.115

Cell: 8.192 8.192 10.475 Å, 122.78 122.78 52.62°
Element x y z (fractional)
Mg 0.249 0.751 0.500
Mg 0.751 0.249 0.000
V 0.023 0.237 0.822
V 0.237 0.023 0.322
V 0.264 0.476 0.678
V 0.476 0.264 0.178
V 0.720 0.779 0.249
V 0.779 0.720 0.749
O 0.056 0.109 0.160
O 0.109 0.056 0.660
O 0.158 0.891 0.339
O 0.249 0.253 0.000
O 0.253 0.249 0.500
O 0.339 0.612 0.661
O 0.391 0.447 0.341
O 0.447 0.391 0.841
O 0.507 0.851 0.305
O 0.541 0.762 0.598
O 0.612 0.339 0.161
O 0.643 0.994 0.194
O 0.738 0.958 0.900
O 0.762 0.541 0.098
O 0.851 0.507 0.805
O 0.891 0.158 0.839
O 0.958 0.738 0.400
O 0.994 0.643 0.694